First-principles (PBE) data for a geometry-optimized NaCrPS2 structure, as listed in Alexandria.

Computed properties:
The calculation puts the excess energy over the best structure of this formula in the dataset at 0.000 eV/atom. Its total energy is -25.09 eV for the cell shown. The formation energy without anion corrections is -0.10 eV/atom. For the total magnetization, the calculation gives 0.0 μB/f.u.

```
data_NaCrPS2
_chemical_formula_sum 'Na1 Cr1 P1 S2'
_space_group_name_H-M_alt 'P 1'
_space_group_IT_number 1
_cell_length_a 4.616
_cell_length_b 4.616
_cell_length_c 4.457
_cell_angle_alpha 90.00
_cell_angle_beta 90.00
_cell_angle_gamma 90.00
loop_
_space_group_symop_operation_xyz
'x,y,z'
loop_
_atom_site_label
_atom_site_type_symbol
_atom_site_fract_x
_atom_site_fract_y
_atom_site_fract_z
Na1 Na 0.000 0.000 0.000
Cr1 Cr 0.500 0.500 0.500
P1 P 0.500 0.500 0.000
S1 S 0.000 0.500 0.500
S2 S 0.500 0.000 0.500
```